{"formula": "RbNb2CuN", "functional": "GGA-PBE", "state": "optimized geometry", "e_form_raw_ev_per_atom": 0.777, "lattice_angstrom": [[4.1901, 0.0000, 0.0000], [0.0000, 4.1901, 0.0000], [0.0000, 0.0000, 6.2326]], "species": ["Rb", "Nb", "Nb", "Cu", "N"], "frac_coords": [[0.0000, 0.0000, 0.0000], [0.0000, 0.5000, 0.5000], [0.5000, 0.0000, 0.5000], [0.5000, 0.5000, 0.0000], [0.5000, 0.5000, 0.5000]]}